(1)
DFT (PBE) results for an optimized crystal structure of Pr3Ho2Sc2.

Values from the calculation:
Formation enthalpy at 0 K ... 0.045 eV per atom
Volume ... 31.36 Å³/atom
Raw total energy ... -35.84 eV for the cell shown
ΔE to the lowest computed polymorph ... 0.0 kJ/mol of formula units

abc: 3.5140 8.4448 8.5703
angles: 117.37 90.03 102.04
Last column: nearest neighbours and their distance in Å.
Element x y z (fractional)
1 Pr 0.0000 0.0000 0.0000  2 Sc 3.34, 6 Pr 3.51-3.59, 4 Ho 3.66
2 Pr 0.2935 0.5893 0.7092  3 Sc 3.34-3.50, 6 Pr 3.51-3.63, 3 Ho 3.65-3.69
3 Pr 0.7065 0.4107 0.2908  3 Sc 3.34-3.50, 6 Pr 3.51-3.63, 3 Ho 3.65-3.69
4 Ho 0.3689 0.7386 0.1835  4 Sc 3.42-3.46, 2 Ho 3.51, 5 Pr 3.65-3.69
5 Ho 0.6311 0.2614 0.8165  4 Sc 3.42-3.46, 2 Ho 3.51, 5 Pr 3.65-3.69
6 Sc 0.0706 0.1393 0.4343  1 Sc 3.00, 2 Pr 3.34
7 Sc 0.9294 0.8607 0.5657  1 Sc 3.00, 2 Pr 3.34



(2)
DFT (PBE) results for an optimized crystal structure of LiZn2Hg2Au5.

Values from the calculation:
Formation enthalpy at 0 K ... -0.130 eV per atom
Volume ... 18.67 Å³/atom
Raw total energy ... -45.49 eV for the cell shown

abc: 4.2541 9.3693 9.3693
angles: 90.00 90.00 90.00
Last column: nearest neighbours and their distance in Å.
Element x y z (fractional)
1 Li 0.0000 0.0000 0.0000  8 Au 2.90
2 Li 0.0000 0.5000 0.5000  8 Au 2.90
3 Zn 0.0000 0.1232 0.6232  6 Au 2.68-2.75, 3 Hg 2.68-2.83
4 Zn 0.0000 0.8768 0.3768  6 Au 2.68-2.75, 3 Hg 2.68-2.83
5 Zn 0.0000 0.6232 0.8768  6 Au 2.68-2.75, 3 Hg 2.68-2.83
6 Zn 0.0000 0.3768 0.1232  6 Au 2.68-2.75, 3 Hg 2.68-2.83
7 Hg 0.0000 0.6744 0.1744  3 Zn 2.68-2.83
8 Hg 0.0000 0.3256 0.8256  3 Zn 2.68-2.83
9 Hg 0.0000 0.1744 0.3256  3 Zn 2.68-2.83
10 Hg 0.0000 0.8256 0.6744  3 Zn 2.68-2.83
11 Au 0.5000 0.1953 0.0803  2 Zn 2.75, 4 Au 2.80-2.97, 2 Li 2.90
12 Au 0.5000 0.8047 0.9197  2 Zn 2.75, 4 Au 2.80-2.97, 2 Li 2.90
13 Au 0.5000 0.0803 0.8047  2 Zn 2.75, 4 Au 2.80-2.97, 2 Li 2.90
14 Au 0.5000 0.6953 0.4197  2 Zn 2.75, 4 Au 2.80-2.97, 2 Li 2.90
15 Au 0.5000 0.9197 0.1953  2 Zn 2.75, 4 Au 2.80-2.97, 2 Li 2.90
16 Au 0.5000 0.3047 0.5803  2 Zn 2.75, 4 Au 2.80-2.97, 2 Li 2.90
17 Au 0.5000 0.5803 0.6953  2 Zn 2.75, 4 Au 2.80-2.97, 2 Li 2.90
18 Au 0.5000 0.4197 0.3047  2 Zn 2.75, 4 Au 2.80-2.97, 2 Li 2.90
19 Au 0.5000 0.5000 0.0000  4 Zn 2.68, 4 Au 2.95
20 Au 0.5000 0.0000 0.5000  4 Zn 2.68, 4 Au 2.95



(3)
DFT (PBE) results for an optimized crystal structure of ReAs3F.

Values from the calculation:
Volume ... 17.02 Å³/atom
Uncorrected formation energy ... 0.8239 eV/atom
Raw total energy ... -24.15 eV for the cell shown
ΔE to the lowest computed polymorph ... 300.6 kJ/mol of formula units

abc: 4.3984 4.3984 4.3984
angles: 90.00 90.00 90.00
Last column: nearest neighbours and their distance in Å.
Element x y z (fractional)
1 Re 0.5000 0.5000 0.5000  12 As 3.11
2 As 0.0000 0.5000 0.0000  2 F 2.20
3 As 0.0000 0.0000 0.5000  2 F 2.20
4 As 0.5000 0.0000 0.0000  2 F 2.20
5 F 0.0000 0.0000 0.0000  6 As 2.20



(4)
DFT (PBE) results for an optimized crystal structure of Ce3Zn9Sn2.

Values from the calculation:
Formation enthalpy at 0 K ... -0.294 eV per atom
Volume ... 20.25 Å³/atom
Raw total energy ... -41.39 eV for the cell shown

abc: 4.4197 8.4912 8.4912
angles: 69.73 74.91 74.91
Last column: nearest neighbours and their distance in Å.
Element x y z (fractional)
1 Ce 0.0000 0.0000 0.0000  12 Zn 3.30-3.34, 4 Sn 3.58
2 Ce 0.6936 0.3064 0.3064  12 Zn 3.15-3.38, 2 Sn 3.27
3 Ce 0.3064 0.6936 0.6936  12 Zn 3.15-3.38, 2 Sn 3.27
4 Zn 0.0000 0.5000 0.5000  4 Sn 3.01, 4 Zn 3.02
5 Zn 0.6647 0.9623 0.7082  4 Zn 2.47-2.61, 1 Sn 2.69
6 Zn 0.3353 0.0377 0.2918  4 Zn 2.47-2.61, 1 Sn 2.69
7 Zn 0.6647 0.7082 0.9623  4 Zn 2.47-2.61, 1 Sn 2.69
8 Zn 0.3353 0.2918 0.0377  4 Zn 2.47-2.61, 1 Sn 2.69
9 Zn 0.8471 0.8841 0.4217  3 Zn 2.61
10 Zn 0.1529 0.1159 0.5783  3 Zn 2.61
11 Zn 0.8471 0.4217 0.8841  3 Zn 2.61
12 Zn 0.1529 0.5783 0.1159  3 Zn 2.61
13 Sn 0.5000 0.2901 0.7099  8 Zn 2.69-3.01
14 Sn 0.5000 0.7099 0.2901  8 Zn 2.69-3.01



(5)
DFT (PBE) results for an optimized crystal structure of Pm3Ga2SiNi6.

Values from the calculation:
Volume ... 17.42 Å³/atom
Uncorrected formation energy ... -0.4013 eV/atom
Raw total energy ... -65.23 eV for the cell shown

abc: 5.3353 5.3353 8.4812
angles: 90.00 90.00 120.00
Last column: nearest neighbours and their distance in Å.
Element x y z (fractional)
1 Pm 0.3333 0.6667 0.6262  6 Ni 2.75
2 Pm 0.6667 0.3333 0.3738  6 Ni 2.75
3 Pm 0.0000 0.0000 0.0000  6 Ni 2.95, 6 Ga 3.12
4 Ga 0.6667 0.3333 0.9386  3 Ni 2.47
5 Ga 0.3333 0.6667 0.0614  3 Ni 2.47
6 Si 0.0000 0.0000 0.5000  6 Ni 2.36
7 Ni 0.6574 0.8287 0.2930  1 Si 2.36, 1 Ga 2.47, 2 Ni 2.59
8 Ni 0.1713 0.3426 0.2930  1 Si 2.36, 1 Ga 2.47, 2 Ni 2.59
9 Ni 0.1713 0.8287 0.2930  1 Si 2.36, 1 Ga 2.47, 2 Ni 2.59
10 Ni 0.8287 0.6574 0.7070  1 Si 2.36, 1 Ga 2.47, 2 Ni 2.59
11 Ni 0.3426 0.1713 0.7070  1 Si 2.36, 1 Ga 2.47, 2 Ni 2.59
12 Ni 0.8287 0.1713 0.7070  1 Si 2.36, 1 Ga 2.47, 2 Ni 2.59



(6)
DFT (PBE) results for an optimized crystal structure of In3Sn5I12.

Values from the calculation:
Volume ... 48.42 Å³/atom
Uncorrected formation energy ... -0.3425 eV/atom
Raw total energy ... -214.72 eV for the cell shown

abc: 17.1362 17.1362 17.1362
angles: 109.47 109.47 109.47
Last column: nearest neighbours and their distance in Å.
Element x y z (fractional)
1 In 0.7500 0.3750 0.1250  8 I 3.74-3.83
2 In 0.8750 0.7500 0.1250  8 I 3.74-3.83
3 In 0.3750 0.7500 0.6250  8 I 3.74-3.83
4 In 0.2500 0.1250 0.3750  8 I 3.74-3.83
5 In 0.8750 0.1250 0.2500  8 I 3.74-3.83
6 In 0.3750 0.6250 0.2500  8 I 3.74-3.83
7 In 0.6250 0.3750 0.7500  8 I 3.74-3.83
8 In 0.1250 0.8750 0.7500  8 I 3.74-3.83
9 In 0.7500 0.8750 0.6250  8 I 3.74-3.83
10 In 0.6250 0.2500 0.3750  8 I 3.74-3.83
11 In 0.1250 0.2500 0.8750  8 I 3.74-3.83
12 In 0.2500 0.6250 0.8750  8 I 3.74-3.83
13 Sn 0.1250 0.3750 0.2500  4 I 3.09
14 Sn 0.0000 0.5000 0.0000  6 I 3.23
15 Sn 0.0000 0.0000 0.0000  6 I 3.23
16 Sn 0.3750 0.2500 0.1250  4 I 3.09
17 Sn 0.5000 0.0000 0.5000  6 I 3.23
18 Sn 0.5000 0.5000 0.0000  6 I 3.23
19 Sn 0.1250 0.7500 0.3750  4 I 3.09
20 Sn 0.7500 0.1250 0.8750  4 I 3.09
21 Sn 0.7500 0.6250 0.3750  4 I 3.09
22 Sn 0.3750 0.1250 0.7500  4 I 3.09
23 Sn 0.6250 0.8750 0.2500  4 I 3.09
24 Sn 0.5000 0.5000 0.5000  6 I 3.23
25 Sn 0.5000 0.0000 0.0000  6 I 3.23
26 Sn 0.0000 0.0000 0.5000  6 I 3.23
27 Sn 0.2500 0.3750 0.6250  4 I 3.09
28 Sn 0.2500 0.8750 0.1250  4 I 3.09
29 Sn 0.0000 0.5000 0.5000  6 I 3.23
30 Sn 0.8750 0.2500 0.6250  4 I 3.09
31 Sn 0.6250 0.7500 0.8750  4 I 3.09
32 Sn 0.8750 0.6250 0.7500  4 I 3.09
33 I 0.7119 0.1217 0.0382  2 Sn 3.09-3.23
34 I 0.3263 0.5382 0.4166  2 Sn 3.09-3.23
35 I 0.9618 0.3783 0.2881  2 Sn 3.09-3.23
36 I 0.5382 0.2119 0.1217  2 Sn 3.09-3.23
37 I 0.5902 0.7119 0.6737  2 Sn 3.09-3.23
38 I 0.9618 0.5834 0.1737  2 Sn 3.09-3.23
39 I 0.3263 0.7881 0.4098  2 Sn 3.09-3.23
40 I 0.0834 0.9098 0.1217  2 Sn 3.09-3.23
41 I 0.5834 0.9618 0.6737  2 Sn 3.09-3.23
42 I 0.7119 0.5902 0.1737  2 Sn 3.09-3.23
43 I 0.7881 0.4618 0.3783  2 Sn 3.09-3.23
44 I 0.8263 0.9166 0.0382  2 Sn 3.09-3.23
45 I 0.1217 0.7119 0.5382  2 Sn 3.09-3.23
46 I 0.3783 0.4166 0.0902  2 Sn 3.09-3.23
47 I 0.0902 0.9166 0.3783  2 Sn 3.09-3.23
48 I 0.4098 0.1217 0.5834  2 Sn 3.09-3.23
49 I 0.0902 0.1737 0.2119  2 Sn 3.09-3.23
50 I 0.4618 0.6737 0.0834  2 Sn 3.09-3.23
51 I 0.8263 0.9098 0.2881  2 Sn 3.09-3.23
52 I 0.1217 0.4098 0.0834  2 Sn 3.09-3.23
53 I 0.3783 0.9618 0.7881  2 Sn 3.09-3.23
54 I 0.5834 0.6217 0.4098  2 Sn 3.09-3.23
55 I 0.9166 0.8263 0.5382  2 Sn 3.09-3.23
56 I 0.7881 0.3263 0.9098  2 Sn 3.09-3.23
57 I 0.4166 0.3783 0.5902  2 Sn 3.09-3.23
58 I 0.0834 0.1737 0.4618  2 Sn 3.09-3.23
59 I 0.2119 0.6737 0.0902  2 Sn 3.09-3.23
60 I 0.1737 0.0902 0.7119  2 Sn 3.09-3.23
61 I 0.6217 0.0382 0.2119  2 Sn 3.09-3.23
62 I 0.8783 0.5902 0.9166  2 Sn 3.09-3.23
63 I 0.5382 0.3263 0.9166  2 Sn 3.09-3.23
64 I 0.5902 0.8783 0.4166  2 Sn 3.09-3.23
65 I 0.9098 0.8263 0.7881  2 Sn 3.09-3.23
66 I 0.9098 0.0834 0.6217  2 Sn 3.09-3.23
67 I 0.8783 0.2881 0.4618  2 Sn 3.09-3.23
68 I 0.1737 0.0834 0.9618  2 Sn 3.09-3.23
69 I 0.6217 0.5834 0.9098  2 Sn 3.09-3.23
70 I 0.4166 0.0382 0.3263  2 Sn 3.09-3.23
71 I 0.2881 0.4098 0.8263  2 Sn 3.09-3.23
72 I 0.2119 0.5382 0.6217  2 Sn 3.09-3.23
73 I 0.9166 0.0902 0.8783  2 Sn 3.09-3.23
74 I 0.6737 0.2119 0.5902  2 Sn 3.09-3.23
75 I 0.4618 0.7881 0.8783  2 Sn 3.09-3.23
76 I 0.0382 0.4166 0.8263  2 Sn 3.09-3.23
77 I 0.4098 0.2881 0.3263  2 Sn 3.09-3.23
78 I 0.0382 0.6217 0.7119  2 Sn 3.09-3.23
79 I 0.6737 0.4618 0.5834  2 Sn 3.09-3.23
80 I 0.2881 0.8783 0.9618  2 Sn 3.09-3.23



(7)
DFT (PBE) results for an optimized crystal structure of IrBrCl.

Values from the calculation:
Volume ... 22.28 Å³/atom
Uncorrected formation energy ... 0.7961 eV/atom
Raw total energy ... -9.99 eV for the cell shown
ΔE to the lowest computed polymorph ... 180.2 kJ/mol of formula units

abc: 6.7226 6.7226 6.7226
angles: 152.00 152.00 40.01
Last column: nearest neighbours and their distance in Å.
Element x y z (fractional)
1 Ir 0.6531 0.6531 0.0000  4 Br 2.62, 4 Cl 2.91
2 Br 0.0534 0.0534 0.0000  4 Ir 2.62
3 Cl 0.2936 0.2936 0.0000  4 Ir 2.91, 1 Br 3.03, 4 Cl 3.25



(8)
DFT (PBE) results for an optimized crystal structure of LiY2Sb.

Values from the calculation:
Volume ... 28.11 Å³/atom
Uncorrected formation energy ... -0.1864 eV/atom
Raw total energy ... -19.71 eV for the cell shown

abc: 10.8552 10.8552 10.8552
angles: 18.49 18.49 18.49
Last column: nearest neighbours and their distance in Å.
Element x y z (fractional)
1 Li 0.4898 0.4898 0.4898  3 Sb 2.99
2 Sb 0.7540 0.7540 0.7540  3 Li 2.99, 3 Y 3.29
3 Y 0.0059 0.0059 0.0059  3 Sb 3.29, 9 Y 3.49
4 Y 0.2503 0.2503 0.2503  9 Y 3.49, 3 Li 3.62



(9)
DFT (PBE) results for an optimized crystal structure of ScNi2Os.

Values from the calculation:
Formation enthalpy at 0 K ... -0.082 eV per atom
Volume ... 14.03 Å³/atom
Raw total energy ... -29.45 eV for the cell shown
ΔE to the lowest computed polymorph ... 29.2 kJ/mol of formula units

abc: 3.1163 3.1163 5.7774
angles: 90.00 90.00 90.00
Last column: nearest neighbours and their distance in Å.
Element x y z (fractional)
1 Ni 0.0000 0.0000 0.0264  1 Os 2.50, 4 Ni 2.55, 4 Sc 2.67
2 Ni 0.5000 0.5000 0.2485  4 Os 2.52, 4 Ni 2.55, 1 Sc 2.79
3 Os 0.0000 0.0000 0.4591  5 Ni 2.50-2.52
4 Sc 0.5000 0.5000 0.7659  5 Ni 2.67-2.79, 4 Os 2.83



(10)
DFT (PBE) results for an optimized crystal structure of LiTc2Ru2.

Values from the calculation:
Formation enthalpy at 0 K ... 0.179 eV per atom
Volume ... 15.59 Å³/atom
Raw total energy ... -80.61 eV for the cell shown
ΔE to the lowest computed polymorph ... 0.0 kJ/mol of formula units

abc: 7.5856 7.5856 2.7101
angles: 90.00 90.00 90.00
Last column: nearest neighbours and their distance in Å.
Element x y z (fractional)
1 Ru 0.1680 0.6680 0.5000  6 Tc 2.60-2.64, 2 Ru 2.71
2 Ru 0.6680 0.8320 0.5000  6 Tc 2.60-2.64, 2 Ru 2.71
3 Ru 0.8320 0.3320 0.5000  6 Tc 2.60-2.64, 2 Ru 2.71
4 Ru 0.3320 0.1680 0.5000  6 Tc 2.60-2.64, 2 Ru 2.71
5 Tc 0.3787 0.8787 0.0000  3 Tc 2.60-2.71, 6 Ru 2.60-2.64
6 Tc 0.8787 0.6213 0.0000  3 Tc 2.60-2.71, 6 Ru 2.60-2.64
7 Tc 0.6213 0.1213 0.0000  3 Tc 2.60-2.71, 6 Ru 2.60-2.64
8 Tc 0.1213 0.3787 0.0000  3 Tc 2.60-2.71, 6 Ru 2.60-2.64
9 Li 0.0000 0.0000 0.0000  2 Li 2.71, 4 Tc 3.02
10 Li 0.5000 0.5000 0.0000  2 Li 2.71, 4 Tc 3.02



(11)
DFT (PBE) results for an optimized crystal structure of DyScCu10.

Values from the calculation:
Formation enthalpy at 0 K ... -0.160 eV per atom
Volume ... 14.55 Å³/atom
Raw total energy ... -53.82 eV for the cell shown

abc: 4.1035 4.9694 8.5607
angles: 90.00 90.00 90.00
Last column: nearest neighbours and their distance in Å.
Element x y z (fractional)
1 Dy 0.0000 0.0000 0.0000  18 Cu 2.90-3.24
2 Sc 0.0000 0.5000 0.5000  6 Cu 2.79-2.84
3 Cu 0.0000 0.0000 0.3392  7 Cu 2.47-2.75
4 Cu 0.0000 0.5000 0.8258  6 Cu 2.49-2.54
5 Cu 0.0000 0.5000 0.1742  6 Cu 2.49-2.54
6 Cu 0.0000 0.0000 0.6608  7 Cu 2.47-2.75
7 Cu 0.5000 0.0000 0.5000  8 Cu 2.45-2.47
8 Cu 0.5000 0.5000 0.0000  8 Cu 2.49-2.54
9 Cu 0.5000 0.2513 0.2532  8 Cu 2.45-2.51
10 Cu 0.5000 0.7487 0.7468  8 Cu 2.45-2.51
11 Cu 0.5000 0.7487 0.2532  8 Cu 2.45-2.51
12 Cu 0.5000 0.2513 0.7468  8 Cu 2.45-2.51



(12)
DFT (PBE) results for an optimized crystal structure of Sr2TlOsO5.

Values from the calculation:
Volume ... 15.75 Å³/atom
Uncorrected formation energy ... -1.7673 eV/atom
Raw total energy ... -57.66 eV for the cell shown

abc: 3.8699 6.3730 6.8502
angles: 117.72 106.41 90.00
Last column: nearest neighbours and their distance in Å.
Element x y z (fractional)
1 Sr 0.2259 0.2259 0.4518  7 O 2.47-2.61
2 Sr 0.7741 0.7741 0.5482  7 O 2.47-2.61
3 Tl 0.0000 0.5000 0.0000  10 O 3.05-3.19
4 Os 0.5000 0.0000 0.0000  6 O 1.93-2.01
5 O 0.6291 0.9154 0.2582  1 Os 2.01
6 O 0.3709 0.0846 0.7418  1 Os 2.01
7 O 0.3709 0.6572 0.7418  1 Os 2.01
8 O 0.6291 0.3428 0.2582  1 Os 2.01
9 O 0.0000 0.0000 0.0000  2 Os 1.93